[1]
Entry from Alexandria: crystalline CsTiCdF6 at its relaxed geometry (GGA-PBE).

Unit cell a=7.8142 b=7.8421 c=7.7600 alpha=120.35 beta=120.23 gamma=90.00
Closest atoms and distances in Å follow each position.
Fractional coordinates of all 18 atoms:
Cs: 0.8652 0.6152 0.7304  5 F 3.14-3.28
Cs: 0.1348 0.3848 0.2696  5 F 3.14-3.28
Ti: 0.5000 0.5000 0.0000  6 F 1.97
Ti: 0.5000 0.0000 0.0000  6 F 1.97
Cd: 0.5000 0.0000 0.5000  6 F 2.22-2.32
Cd: 0.0000 0.0000 0.5000  6 F 2.22-2.32
F: 0.4804 0.7304 0.9609  2 Ti 1.97
F: 0.8461 0.0961 0.6921  2 Cd 2.22
F: 0.8063 0.1091 0.2553  1 Ti 1.97
F: 0.4490 0.6462 0.2553  1 Ti 1.97
F: 0.4490 0.1091 0.2553  1 Ti 1.97
F: 0.8063 0.6462 0.2553  1 Ti 1.97
F: 0.5196 0.2696 0.0391  2 Ti 1.97
F: 0.1539 0.9039 0.3079  2 Cd 2.22
F: 0.1937 0.8909 0.7447  1 Ti 1.97
F: 0.5510 0.3538 0.7447  1 Ti 1.97
F: 0.5510 0.8909 0.7447  1 Ti 1.97
F: 0.1937 0.3538 0.7447  1 Ti 1.97

- uncorrected energy (eV/atom) = -5.202
- formation energy without anion corrections (eV per atom) = -2.88


[2]
Entry from Alexandria: crystalline Cs2TiCdF6 at its relaxed geometry (GGA-PBE).

Unit cell a=6.9294 b=6.9294 c=6.9283 alpha=59.99 beta=59.99 gamma=90.00
Closest atoms and distances in Å follow each position.
Fractional coordinates of all 10 atoms:
Cs: 0.7500 0.2500 0.5000  12 F 3.51
Cs: 0.2500 0.7500 0.5000  12 F 3.51
F: 0.3063 0.3063 0.3874  1 Ti 1.90
F: 0.6937 0.6937 0.6126  1 Ti 1.90
F: 0.3064 0.3064 0.0000  1 Ti 1.90
F: 0.6936 0.6936 0.0000  1 Ti 1.90
F: 0.6936 0.3064 0.0000  1 Ti 1.90
F: 0.3064 0.6936 0.0000  1 Ti 1.90
Ti: 0.5000 0.5000 0.0000  6 F 1.90
Cd: 0.0000 0.0000 0.0000  6 F 3.00

- uncorrected energy (eV/atom) = -5.008
- formation energy without anion corrections (eV per atom) = -2.83


[3]
Entry from Alexandria: crystalline CsTlCdF6 at its relaxed geometry (GGA-PBE).

Unit cell a=7.9758 b=8.3277 c=8.1617 alpha=120.67 beta=119.25 gamma=90.00
Closest atoms and distances in Å follow each position.
Fractional coordinates of all 18 atoms:
Cs: 0.9017 0.6517 0.8033  5 F 3.10-3.44
Cs: 0.0983 0.3483 0.1967  5 F 3.10-3.44
Tl: 0.5000 0.5000 0.0000  6 F 2.17-2.24
Tl: 0.5000 0.0000 0.0000  6 F 2.17-2.24
Cd: 0.5000 0.0000 0.5000  6 F 2.20-2.28
Cd: 0.0000 0.0000 0.5000  6 F 2.20-2.28
F: 0.4274 0.6774 0.8548  2 Tl 2.24
F: 0.8300 0.0800 0.6601  2 Cd 2.20
F: 0.8238 0.0746 0.2428  1 Tl 2.17, 1 Cd 2.28
F: 0.4190 0.6682 0.2428  1 Tl 2.17, 1 Cd 2.28
F: 0.4190 0.0746 0.2428  1 Tl 2.17, 1 Cd 2.28
F: 0.8238 0.6682 0.2428  1 Tl 2.17, 1 Cd 2.28
F: 0.5726 0.3226 0.1452  2 Tl 2.24
F: 0.1700 0.9200 0.3399  2 Cd 2.20
F: 0.1762 0.9254 0.7572  1 Tl 2.17, 1 Cd 2.28
F: 0.5810 0.3318 0.7572  1 Tl 2.17, 1 Cd 2.28
F: 0.5810 0.9254 0.7572  1 Tl 2.17, 1 Cd 2.28
F: 0.1762 0.3318 0.7572  1 Tl 2.17, 1 Cd 2.28

- uncorrected energy (eV/atom) = -3.907
- formation energy without anion corrections (eV per atom) = -2.20


> The highest uncorrected energy belongs to which entry?

CsTlCdF6


> Which of these has the lowest uncorrected energy?

CsTiCdF6


> The lowest uncorrected energy belongs to which entry?

CsTiCdF6